VASP calculation (PBE) on an optimized crystal structure of CsK2TlP.

Summary:
DFT formation energy, meV/atom: -1
Fermi-level density of states, states/eV/f.u.: 3.7
Magnetic moment, μB per atom: 0.000

Lattice parameters (Å, degrees): 6.5657 6.5657 5.4193 90.00 90.00 90.00
With the nearest neighbours (Å) after each atom.
Sites, in units of the cell vectors:
Tl 0.0000 0.0000 0.5000  2 P 2.71
Cs 0.5000 0.5000 0.5000  8 K 4.26, 4 Tl 4.64
P 0.0000 0.0000 0.0000  2 Tl 2.71
K 0.0000 0.5000 0.0000  2 P 3.28
K 0.5000 0.0000 0.0000  2 P 3.28

VASP calculation (PBE) on an optimized crystal structure of Sb3O7.

Summary:
Energy relative to the lowest polymorph listed for this composition, meV/atom: 0
Fermi-level density of states, states/eV/f.u.: 0.6
Magnetic moment, μB per atom: 0.000
Energy relative to the elements, uncorrected, eV/atom: -1.2081

Lattice parameters (Å, degrees): 7.3935 7.3935 7.3935 121.09 120.72 88.44
With the nearest neighbours (Å) after each atom.
Sites, in units of the cell vectors:
Sb 0.0000 0.5000 0.0000  6 O 1.95-2.01
O 0.0620 0.8996 0.7270  2 Sb 2.01-2.05
O 0.0654 0.3154 0.7500  2 Sb 1.95
O 0.3172 0.0672 0.2500  2 Sb 1.96
Sb 0.0000 0.5000 0.5000  2 O 1.99
O 0.3242 0.5742 0.7500  2 Sb 1.99
O 0.9346 0.6846 0.2500  2 Sb 1.95
Sb 0.0000 0.0000 0.0000  6 O 1.96-2.05
O 0.6727 0.8996 0.3377  2 Sb 2.01-2.05
Sb 0.5000 0.5000 0.0000  2 O 1.99
O 0.6727 0.3350 0.7730  2 Sb 2.01-2.05
O 0.0620 0.3350 0.1623  2 Sb 2.01-2.05
O 0.6828 0.9328 0.7500  2 Sb 1.96
O 0.6758 0.4258 0.2500  2 Sb 1.99
O 0.3273 0.1004 0.6623  2 Sb 2.01-2.05
O 0.9380 0.1004 0.2730  2 Sb 2.01-2.05
Sb 0.5000 0.0000 0.5000  6 O 1.96-2.05
O 0.9380 0.6650 0.8377  2 Sb 2.01-2.05
Sb 0.0000 0.0000 0.5000  6 O 1.95-2.01
O 0.3273 0.6650 0.2270  2 Sb 2.01-2.05

VASP calculation (PBE) on an optimized crystal structure of TbDyCd6.

Summary:
DFT formation energy, meV/atom: -284
Fermi-level density of states, states/eV/f.u.: 3.7
Magnetic moment, μB per atom: 0.000

Lattice parameters (Å, degrees): 4.8904 6.5281 6.5281 113.65 90.00 90.00
With the nearest neighbours (Å) after each atom.
Sites, in units of the cell vectors:
Cd 0.0000 0.5763 0.4237  8 Cd 3.02-3.31, 2 Tb 3.21
Cd 0.5000 0.9241 0.0759  8 Cd 3.02-3.32, 2 Dy 3.20
Cd 0.0000 0.0607 0.3729  7 Cd 3.02-3.31, 2 Tb 3.21, 2 Dy 3.23-3.33
Dy 0.0000 0.1136 0.8864  10 Cd 3.20-3.33
Cd 0.5000 0.8731 0.5614  7 Cd 3.02-3.32, 2 Dy 3.21, 2 Tb 3.23-3.33
Cd 0.5000 0.4386 0.1269  7 Cd 3.02-3.32, 2 Dy 3.21, 2 Tb 3.23-3.33
Tb 0.5000 0.3862 0.6138  10 Cd 3.21-3.33
Cd 0.0000 0.6271 0.9393  7 Cd 3.02-3.31, 2 Tb 3.21, 2 Dy 3.23-3.33

VASP calculation (PBE) on an optimized crystal structure of Pm4Sn2Pb5.

Summary:
DFT formation energy, meV/atom: -439
Fermi-level density of states, states/eV/f.u.: 4.5
Magnetic moment, μB per atom: 0.000

Lattice parameters (Å, degrees): 3.6130 8.4841 10.7686 94.43 90.00 90.00
With the nearest neighbours (Å) after each atom.
Sites, in units of the cell vectors:
Pm 0.5000 0.7384 0.5668  4 Sn 3.32-3.37, 6 Pb 3.46-3.57, 2 Pm 3.61
Pb 0.0000 0.4419 0.6930  1 Sn 3.17, 2 Pb 3.30-3.51, 2 Pm 3.46
Pb 0.0000 0.1773 0.1552  1 Sn 3.22, 2 Pb 3.32-3.51, 6 Pm 3.50-3.53
Sn 0.0000 0.0700 0.6324  1 Sn 3.00, 2 Pb 3.17-3.22, 4 Pm 3.27-3.32
Pm 0.5000 0.1812 0.8768  2 Sn 3.27, 8 Pb 3.43-3.57, 2 Pm 3.61
Pm 0.5000 0.2616 0.4332  4 Sn 3.32-3.37, 6 Pb 3.46-3.57, 2 Pm 3.61
Pb 0.0000 0.8227 0.8448  1 Sn 3.22, 2 Pb 3.32-3.51, 6 Pm 3.50-3.53
Sn 0.0000 0.9300 0.3676  1 Sn 3.00, 2 Pb 3.17-3.22, 4 Pm 3.27-3.32
Pb 0.0000 0.5000 0.0000  6 Pb 3.30-3.61, 4 Pm 3.43
Pb 0.0000 0.5581 0.3070  1 Sn 3.17, 2 Pb 3.30-3.51, 2 Pm 3.46
Pm 0.5000 0.8188 0.1232  2 Sn 3.27, 8 Pb 3.43-3.57, 2 Pm 3.61

VASP calculation (PBE) on an optimized crystal structure of MnGaS2.

Summary:
Energy relative to the lowest polymorph listed for this composition, meV/atom: 193
Fermi-level density of states, states/eV/f.u.: 2.3
Magnetic moment, μB per atom: 1.005
Energy relative to the elements, uncorrected, eV/atom: -0.2296

Lattice parameters (Å, degrees): 7.5128 7.5128 7.5128 27.73 27.73 27.73
With the nearest neighbours (Å) after each atom.
Sites, in units of the cell vectors:
Ga 0.5000 0.5000 0.5000  6 S 2.48
S 0.1043 0.1043 0.1043  1 Mn 2.26, 3 Ga 2.48
Mn 0.0000 0.0000 0.0000  2 S 2.26
S 0.8957 0.8957 0.8957  1 Mn 2.26, 3 Ga 2.48

VASP calculation (PBE) on an optimized crystal structure of ZrCo2Au.

Summary:
Energy relative to the lowest polymorph listed for this composition, meV/atom: 248
DFT formation energy, meV/atom: 16
Fermi-level density of states, states/eV/f.u.: 6.6
Magnetic moment, μB per atom: 0.692

Lattice parameters (Å, degrees): 4.4696 4.4696 4.4696 60.00 60.00 60.00
With the nearest neighbours (Å) after each atom.
Sites, in units of the cell vectors:
Co 0.7500 0.7500 0.7500  4 Co 2.74, 4 Au 2.74
Co 0.0000 0.0000 0.0000  4 Co 2.74, 4 Zr 2.74
Zr 0.2500 0.2500 0.2500  4 Co 2.74, 4 Au 2.74
Au 0.5000 0.5000 0.5000  4 Zr 2.74, 4 Co 2.74